Below is a relaxed Al2CoBr crystal, with properties calculated at the GGA-PBE level.

As for the space group: Cmmm, No. 65. The excess energy over the best structure of this formula in the dataset comes out at 539 meV/atom. The total energy is -14.95 eV/f.u.

The structure in CIF format:
```
data_Al2CoBr
_symmetry_space_group_name_H-M 'P 1'
_symmetry_Int_Tables_number 1
_cell_length_a 4.678
_cell_length_b 4.678
_cell_length_c 3.025
_cell_angle_alpha 89.99
_cell_angle_beta 89.99
_cell_angle_gamma 106.96
loop_
_symmetry_equiv_pos_as_xyz
'x,y,z'
loop_
_atom_site_label
_atom_site_fract_x
_atom_site_fract_y
_atom_site_fract_z
Co1 0.000 0.500 0.500
Al1 0.000 0.000 0.000
Al2 0.500 0.500 0.000
Br1 0.500 0.000 0.500
```

***

Below is a relaxed LaTlMo crystal, with properties calculated at the GGA-PBE level.

As for the space group: Fmm2, No. 42. The excess energy over the best structure of this formula in the dataset comes out at 27 meV/atom. The total energy is -16.69 eV/f.u.

The structure in CIF format:
```
data_LaTlMo
_symmetry_space_group_name_H-M 'P 1'
_symmetry_Int_Tables_number 1
_cell_length_a 7.707
_cell_length_b 7.469
_cell_length_c 3.280
_cell_angle_alpha 81.61
_cell_angle_beta 73.48
_cell_angle_gamma 24.90
loop_
_symmetry_equiv_pos_as_xyz
'x,y,z'
loop_
_atom_site_label
_atom_site_fract_x
_atom_site_fract_y
_atom_site_fract_z
La1 0.983 0.983 0.017
Mo1 0.333 0.333 0.667
Tl1 0.684 0.684 0.316
```

***

Below is a relaxed Pr3Sm12In crystal, with properties calculated at the GGA-PBE level.

As for the space group: P4/mmm, No. 123. The total energy is -74.40 eV/f.u.

The structure in CIF format:
```
data_Pr3Sm12In
_symmetry_space_group_name_H-M 'P 1'
_symmetry_Int_Tables_number 1
_cell_length_a 5.080
_cell_length_b 5.080
_cell_length_c 20.660
_cell_angle_alpha 90.00
_cell_angle_beta 90.00
_cell_angle_gamma 90.00
loop_
_symmetry_equiv_pos_as_xyz
'x,y,z'
loop_
_atom_site_label
_atom_site_fract_x
_atom_site_fract_y
_atom_site_fract_z
Sm1 0.500 0.500 0.000
Sm2 0.000 0.500 0.881
Sm3 0.000 0.500 0.119
Sm4 0.500 0.500 0.500
Sm5 0.500 0.500 0.244
Sm6 0.500 0.000 0.881
Sm7 0.000 0.500 0.627
Sm8 0.500 0.500 0.756
Sm9 0.000 0.500 0.373
Sm10 0.500 0.000 0.119
Sm11 0.500 0.000 0.627
Sm12 0.500 0.000 0.373
In1 0.000 0.000 0.000
Pr1 0.000 0.000 0.500
Pr2 0.000 0.000 0.753
Pr3 0.000 0.000 0.247
```

***

Below is a relaxed NiSbSe2 crystal, with properties calculated at the GGA-PBE level.

As for the space group: I-42d, No. 122. The total energy is -17.04 eV/f.u.

The structure in CIF format:
```
data_NiSbSe2
_symmetry_space_group_name_H-M 'P 1'
_symmetry_Int_Tables_number 1
_cell_length_a 6.168
_cell_length_b 6.168
_cell_length_c 6.907
_cell_angle_alpha 63.48
_cell_angle_beta 63.48
_cell_angle_gamma 90.00
loop_
_symmetry_equiv_pos_as_xyz
'x,y,z'
loop_
_atom_site_label
_atom_site_fract_x
_atom_site_fract_y
_atom_site_fract_z
Ni1 0.250 0.750 0.500
Ni2 0.500 0.500 0.000
Sb1 0.000 0.000 0.000
Sb2 0.750 0.250 0.500
Se1 0.196 0.625 0.250
Se2 0.375 0.446 0.750
Se3 0.875 0.804 0.750
Se4 0.554 0.125 0.250
```

***

Below is a relaxed OsRuW crystal, with properties calculated at the GGA-PBE level.

As for the space group: P-1, No. 2. The excess energy over the best structure of this formula in the dataset comes out at 173 meV/atom. The total energy is -32.80 eV/f.u.

The structure in CIF format:
```
data_OsRuW
_symmetry_space_group_name_H-M 'P 1'
_symmetry_Int_Tables_number 1
_cell_length_a 2.743
_cell_length_b 4.693
_cell_length_c 7.421
_cell_angle_alpha 89.11
_cell_angle_beta 90.47
_cell_angle_gamma 72.82
loop_
_symmetry_equiv_pos_as_xyz
'x,y,z'
loop_
_atom_site_label
_atom_site_fract_x
_atom_site_fract_y
_atom_site_fract_z
Ru1 0.126 0.286 0.771
Ru2 0.319 0.906 0.270
Os1 0.589 0.368 0.080
Os2 0.856 0.823 0.960
W1 0.865 0.829 0.609
W2 0.581 0.363 0.431
```

***

Below is a relaxed La2NdHo7 crystal, with properties calculated at the GGA-PBE level.

As for the space group: Cmmm, No. 65. The excess energy over the best structure of this formula in the dataset comes out at 138 meV/atom. The total energy is -45.02 eV/f.u.

The structure in CIF format:
```
data_La2NdHo7
_symmetry_space_group_name_H-M 'P 1'
_symmetry_Int_Tables_number 1
_cell_length_a 3.516
_cell_length_b 14.890
_cell_length_c 14.890
_cell_angle_alpha 154.51
_cell_angle_beta 90.00
_cell_angle_gamma 90.00
loop_
_symmetry_equiv_pos_as_xyz
'x,y,z'
loop_
_atom_site_label
_atom_site_fract_x
_atom_site_fract_y
_atom_site_fract_z
La1 0.500 0.294 0.706
La2 0.500 0.706 0.294
Ho1 0.000 0.184 0.816
Ho2 0.500 0.148 0.344
Ho3 0.000 0.816 0.184
Ho4 0.500 0.500 0.500
Ho5 0.500 0.344 0.148
Ho6 0.500 0.852 0.656
Ho7 0.500 0.656 0.852
Nd1 0.000 0.000 0.000
```

***

Looking at M_tot for the records above, in order, we have 0.00, 0.00, 0.00, 0.00, 0.00, 0.00 μB per cell.